Entry 1:
# PBE Cs6Rb8Br, optimized geometry
# Total energy (eV per atom): -1.174
# Mass density (Mg/m³): 1.85
# DOS at the Fermi energy (states/eV/cell): 38.8
data_Cs6Rb8Br
_chemical_formula_sum 'Cs18 Rb24 Br3'
_space_group_name_H-M_alt 'R -3'
_space_group_IT_number 148
_space_group_name_Hall '-R 3'
_cell_length_a 13.7934
_cell_length_b 13.7934
_cell_length_c 25.4586
_cell_angle_alpha 90.00
_cell_angle_beta 90.00
_cell_angle_gamma 120.00
loop_
_atom_site_label
_atom_site_type_symbol
_atom_site_fract_x
_atom_site_fract_y
_atom_site_fract_z
Cs1 Cs 0.0504 0.8068 0.4160
Rb1 Rb 0.0000 0.0000 0.2467
Rb2 Rb 0.0533 0.8234 0.9180
Br1 Br 0.0000 0.0000 0.0000


Entry 2:
# PBE CsRbBr, optimized geometry
# Energy relative to the lowest polymorph listed for this composition (eV/f.u.): 0.00
# Total energy (eV per atom): -2.291
# Mass density (Mg/m³): 2.53
# DOS at the Fermi energy (states/eV/cell): 1.0
data_CsRbBr
_chemical_formula_sum 'Cs1 Rb1 Br1'
_space_group_name_H-M_alt 'P 3 m 1'
_space_group_IT_number 156
_cell_length_a 5.0769
_cell_length_b 5.0769
_cell_length_c 8.7780
_cell_angle_alpha 90.00
_cell_angle_beta 90.00
_cell_angle_gamma 120.00
loop_
_space_group_symop_operation_xyz
'x,y,z'
'-y,x-y,z'
'-x+y,-x,z'
'-y,-x,z'
'-x+y,y,z'
'x,x-y,z'
loop_
_atom_site_label
_atom_site_type_symbol
_atom_site_fract_x
_atom_site_fract_y
_atom_site_fract_z
Cs1 Cs 0.0000 0.0000 0.0000
Rb1 Rb 0.3333 0.6667 0.4823
Br1 Br 0.6667 0.3333 0.2516


Entry 3:
# PBE CsRb6Br8, optimized geometry
# Total energy (eV per atom): -2.844
# Mass density (Mg/m³): 3.09
# DOS at the Fermi energy (states/eV/cell): 33.9
data_CsRb6Br8
_chemical_formula_sum 'Cs1 Rb6 Br8'
_space_group_name_H-M_alt 'P -3'
_space_group_IT_number 147
_cell_length_a 12.2492
_cell_length_b 12.2492
_cell_length_c 5.3083
_cell_angle_alpha 90.00
_cell_angle_beta 90.00
_cell_angle_gamma 120.00
loop_
_space_group_symop_operation_xyz
'x,y,z'
'-x,-y,-z'
'-y,x-y,z'
'y,-x+y,-z'
'-x+y,-x,z'
'x-y,x,-z'
loop_
_atom_site_label
_atom_site_type_symbol
_atom_site_fract_x
_atom_site_fract_y
_atom_site_fract_z
Cs1 Cs 0.0000 0.0000 0.0000
Rb1 Rb 0.1236 0.6540 0.2563
Br1 Br 0.0325 0.3225 0.2418
Br2 Br 0.3333 0.6667 0.7552


Entry 4:
# PBE CsRbBr2, optimized geometry
# Energy relative to the lowest polymorph listed for this composition (eV/f.u.): 0.95
# Total energy (eV per atom): -2.818
# Mass density (Mg/m³): 2.36
# DOS at the Fermi energy (states/eV/cell): 0.0
data_CsRbBr2
_chemical_formula_sum 'Cs3 Rb3 Br6'
_space_group_name_H-M_alt 'R -3 m'
_space_group_IT_number 166
_space_group_name_Hall '-R 3 2"'
_cell_length_a 5.5140
_cell_length_b 5.5140
_cell_length_c 30.3309
_cell_angle_alpha 90.00
_cell_angle_beta 90.00
_cell_angle_gamma 120.00
loop_
_atom_site_label
_atom_site_type_symbol
_atom_site_fract_x
_atom_site_fract_y
_atom_site_fract_z
Cs1 Cs 0.0000 0.0000 0.0000
Rb1 Rb 0.0000 0.0000 0.5000
Br1 Br 0.0000 0.0000 0.3967


Entry 5:
# PBE Cs2Rb2Br, optimized geometry
# Energy relative to the lowest polymorph listed for this composition (eV/f.u.): 0.00
# Total energy (eV per atom): -1.681
# Mass density (Mg/m³): 2.17
# DOS at the Fermi energy (states/eV/cell): 11.3
data_Cs2Rb2Br
_chemical_formula_sum 'Cs8 Rb8 Br4'
_space_group_name_H-M_alt 'C 1 2/c 1'
_space_group_IT_number 15
_cell_length_a 9.5044
_cell_length_b 9.2280
_cell_length_c 18.1511
_cell_angle_alpha 90.00
_cell_angle_beta 97.28
_cell_angle_gamma 90.00
loop_
_space_group_symop_operation_xyz
'x,y,z'
'-x,-y,-z'
'-x,y,-z+1/2'
'x,-y,z+1/2'
'x+1/2,y+1/2,z'
'-x+1/2,-y+1/2,-z'
'-x+1/2,y+1/2,-z+1/2'
'x+1/2,-y+1/2,z+1/2'
loop_
_atom_site_label
_atom_site_type_symbol
_atom_site_fract_x
_atom_site_fract_y
_atom_site_fract_z
Cs1 Cs 0.1743 0.1299 0.1609
Rb1 Rb 0.1160 0.3444 0.5874
Br1 Br 0.0000 0.1790 0.7500


Entry 6:
# PBE CsRb3Br, optimized geometry
# Energy relative to the lowest polymorph listed for this composition (eV/f.u.): 0.00
# Total energy (eV per atom): -1.704
# Mass density (Mg/m³): 2.09
# DOS at the Fermi energy (states/eV/cell): 4.2
data_CsRb3Br
_chemical_formula_sum 'Cs1 Rb3 Br1'
_space_group_name_H-M_alt 'P m -3 m'
_space_group_IT_number 221
_space_group_name_Hall '-P 4 2 3'
_cell_length_a 7.1950
_cell_length_b 7.1950
_cell_length_c 7.1950
_cell_angle_alpha 90.00
_cell_angle_beta 90.00
_cell_angle_gamma 90.00
loop_
_atom_site_label
_atom_site_type_symbol
_atom_site_fract_x
_atom_site_fract_y
_atom_site_fract_z
Cs1 Cs 0.0000 0.0000 0.0000
Rb1 Rb 0.0000 0.5000 0.5000
Br1 Br 0.5000 0.5000 0.5000